{
  "formula": "Ti2Ga3Fe4",
  "functional": "PBE",
  "state": "optimized geometry",
  "formation_energy_ev_per_atom": -0.301,
  "total_magnetization_mub_per_atom": 0.10,
  "lattice_angstrom": [[-3.817, 0.921, 1.365], [-2.220, -2.851, 2.046], [2.961, 2.465, 6.610]],
  "species": ["Ga", "Ga", "Ga", "Fe", "Fe", "Fe", "Fe", "Ti", "Ti"],
  "frac_coords": [[0.000, 0.000, 0.000], [0.667, 0.665, 0.575], [0.333, 0.335, 0.425], [0.333, 0.334, 0.106], [0.667, 0.666, 0.894], [0.999, 0.002, 0.343], [0.001, 0.998, 0.657], [0.334, 0.332, 0.788], [0.666, 0.668, 0.212]]
}